(1)
# PBE-GGA TePSe2, optimized geometry
# Volume   27.0 A^3/atom
# Space-group type   No. 6
# Total energy   -0.2739 Ry/atom
# D(E_F)   2.11 states/eV/f.u.
data_TePSe2
_chemical_formula_sum 'Te1 P1 Se2'
_space_group_name_H-M_alt 'P 1'
_space_group_IT_number 1
_space_group_name_Hall 'P 1'
_cell_length_a 3.574
_cell_length_b 5.379
_cell_length_c 5.713
_cell_angle_alpha 79.76
_cell_angle_beta 90.00
_cell_angle_gamma 90.00
loop_
_atom_site_label
_atom_site_type_symbol
_atom_site_fract_x
_atom_site_fract_y
_atom_site_fract_z
Te1 Te 0.000 0.125 0.430
P1 P 0.500 0.537 0.173
Se1 Se 0.000 0.890 0.080
Se2 Se 0.500 0.448 0.816


(2)
# PBE-GGA TePSe, optimized geometry
# Volume   28.3 A^3/atom
# Space-group type   No. 107
# Total energy   -0.2828 Ry/atom
# D(E_F)   1.94 states/eV/f.u.
data_TePSe
_chemical_formula_sum 'Te1 P1 Se1'
_space_group_name_H-M_alt 'P 1'
_space_group_IT_number 1
_space_group_name_Hall 'P 1'
_cell_length_a 7.252
_cell_length_b 7.252
_cell_length_c 7.252
_cell_angle_alpha 151.83
_cell_angle_beta 151.83
_cell_angle_gamma 40.27
loop_
_atom_site_label
_atom_site_type_symbol
_atom_site_fract_x
_atom_site_fract_y
_atom_site_fract_z
Te1 Te 0.698 0.698 0.000
P1 P 0.882 0.882 0.000
Se1 Se 0.420 0.420 0.000


(3)
# PBE-GGA TePSe, optimized geometry
# Volume   37.6 A^3/atom
# Space-group type   No. 1
# Total energy   -0.2852 Ry/atom
data_TePSe
_chemical_formula_sum 'Te2 P2 Se2'
_space_group_name_H-M_alt 'P 1'
_space_group_IT_number 1
_space_group_name_Hall 'P 1'
_cell_length_a 5.484
_cell_length_b 6.837
_cell_length_c 7.061
_cell_angle_alpha 103.27
_cell_angle_beta 100.15
_cell_angle_gamma 113.52
loop_
_atom_site_label
_atom_site_type_symbol
_atom_site_fract_x
_atom_site_fract_y
_atom_site_fract_z
Te1 Te 0.371 0.075 0.134
Te2 Te 0.012 0.478 0.417
P1 P 0.563 0.873 0.902
P2 P 0.199 0.650 0.986
Se1 Se 0.392 0.895 0.591
Se2 Se 0.803 0.513 0.717


(4)
# PBE-GGA TePSe, optimized geometry
# Volume   26.4 A^3/atom
# Space-group type   No. 1
# Total energy   -0.2878 Ry/atom
# D(E_F)   1.58 states/eV/f.u.
data_TePSe
_chemical_formula_sum 'Te1 P1 Se1'
_space_group_name_H-M_alt 'P 1'
_space_group_IT_number 1
_space_group_name_Hall 'P 1'
_cell_length_a 3.315
_cell_length_b 4.059
_cell_length_c 6.452
_cell_angle_alpha 86.24
_cell_angle_beta 89.21
_cell_angle_gamma 66.06
loop_
_atom_site_label
_atom_site_type_symbol
_atom_site_fract_x
_atom_site_fract_y
_atom_site_fract_z
Te1 Te 0.926 0.932 0.175
P1 P 0.180 0.410 0.465
Se1 Se 0.589 0.580 0.695


What did the fourth record say?
# PBE-GGA TePSe, optimized geometry
# Volume   26.4 A^3/atom
# Space-group type   No. 1
# Total energy   -0.2878 Ry/atom
# D(E_F)   1.58 states/eV/f.u.
data_TePSe
_chemical_formula_sum 'Te1 P1 Se1'
_space_group_name_H-M_alt 'P 1'
_space_group_IT_number 1
_space_group_name_Hall 'P 1'
_cell_length_a 3.315
_cell_length_b 4.059
_cell_length_c 6.452
_cell_angle_alpha 86.24
_cell_angle_beta 89.21
_cell_angle_gamma 66.06
loop_
_atom_site_label
_atom_site_type_symbol
_atom_site_fract_x
_atom_site_fract_y
_atom_site_fract_z
Te1 Te 0.926 0.932 0.175
P1 P 0.180 0.410 0.465
Se1 Se 0.589 0.580 0.695